Record 1
4
Lattice="2.740 0.000 0.000 0.000 4.783 -0.001 0.000 -1.614 4.626" Properties=species:S:1:pos:R:3 comment="CdOs2Pt (GGA-PBEsol, optimized geometry)" space_group="P2/m, No. 10" vol_a3_per_atom=15.2 total_magnetization_mub_per_cell=0.00 ef_ev_per_atom=0.41 pbc="T T T"
Cd 0.000 1.584 2.312
Pt 1.370 -0.807 2.313
Os 0.000 0.000 0.000
Os 1.370 2.392 0.000

Record 2
4
Lattice="-1.139 -2.499 0.246 1.710 -1.209 -4.375 4.055 0.091 4.248" Properties=species:S:1:pos:R:3 comment="Cd2OsPt (GGA-PBEsol, optimized geometry)" space_group="Imm2, No. 44" vol_a3_per_atom=17.3 total_magnetization_mub_per_cell=0.00 ef_ev_per_atom=0.32 pbc="T T T"
Os 0.437 -1.916 -1.988
Cd 4.463 -3.552 0.037
Cd 1.781 -2.205 1.305
Pt 2.855 -1.417 -1.182

Record 3
4
Lattice="-2.308 0.021 -1.594 -0.372 -4.842 0.474 -1.377 3.005 4.501" Properties=species:S:1:pos:R:3 comment="Cd2OsPt (GGA-PBEsol, optimized geometry)" space_group="Immm, No. 71" vol_a3_per_atom=16.5 total_magnetization_mub_per_cell=0.00 ef_ev_per_atom=0.35 pbc="T T T"
Os -1.154 0.011 -0.797
Cd -2.686 -2.116 1.392
Cd -1.371 0.300 1.988
Pt -0.186 -2.421 0.237

Record 4
4
Lattice="-0.751 0.456 2.606 2.379 -1.272 -0.538 4.484 8.466 -0.189" Properties=species:S:1:pos:R:3 comment="CdOsPt2 (GGA-PBEsol, optimized geometry)" space_group="Cmm2, No. 35" vol_a3_per_atom=15.7 total_magnetization_mub_per_cell=0.00 ef_ev_per_atom=0.30 pbc="T T T"
Pt 4.199 5.984 0.892
Pt 0.019 0.036 -0.001
Os 1.894 1.631 0.989
Cd 2.241 4.232 -0.094

Record 5
4
Lattice="-2.406 1.416 -0.314 0.210 -2.628 -0.971 -3.153 -3.445 8.637" Properties=species:S:1:pos:R:3 comment="Cd2OsPt (GGA-PBEsol, optimized geometry)" space_group="Cmm2, No. 35" vol_a3_per_atom=16.8 total_magnetization_mub_per_cell=0.00 ef_ev_per_atom=0.35 pbc="T T T"
Cd -3.421 -3.145 5.722
Cd -0.042 -0.046 0.115
Pt -1.921 -1.505 1.611
Os -1.541 -1.684 4.222

Record 6
4
Lattice="3.928 0.000 0.000 0.000 3.928 0.000 0.000 0.000 4.012" Properties=species:S:1:pos:R:3 comment="CdOsPt2 (GGA-PBEsol, optimized geometry)" space_group="P4/mmm, No. 123" vol_a3_per_atom=15.5 total_magnetization_mub_per_cell=0.00 ef_ev_per_atom=0.32 pbc="T T T"
Pt 1.964 0.000 0.000
Pt 0.000 1.964 0.000
Cd 1.964 1.964 2.006
Os 0.000 0.000 2.006

Record 7
4
Lattice="-0.638 -0.376 -2.625 1.498 -4.435 0.342 -4.890 0.998 2.428" Properties=species:S:1:pos:R:3 comment="CdOs2Pt (GGA-PBEsol, optimized geometry)" space_group="C2/m, No. 12" vol_a3_per_atom=15.5 total_magnetization_mub_per_cell=0.00 ef_ev_per_atom=0.58 pbc="T T T"
Os -2.445 0.499 1.214
Os -2.015 -1.907 0.072
Cd -0.319 -0.188 -1.312
Pt 0.749 -2.218 0.171

Record 8
5
Lattice="-2.908 4.038 -0.472 -1.193 -1.402 -4.647 -3.887 -2.591 1.779" Properties=species:S:1:pos:R:3 comment="RbCdOs3 (GGA-PBEsol, optimized geometry)" space_group="Pm-3m, No. 221" vol_a3_per_atom=25.0 total_magnetization_mub_per_cell=6.05 ef_ev_per_atom=3.13 pbc="T T T"
Os -1.943 -1.295 0.890
Os -1.454 2.019 -0.236
Os -0.596 -0.701 -2.324
Rb -3.994 0.023 -1.670
Cd 0.000 0.000 0.000